## Sm3Cu2GePt9 (PBE)

Data for Sm3Cu2GePt9 after structural relaxation.

Unit cell a=5.597 b=5.597 c=11.643 alpha=90.00 beta=90.00 gamma=120.00
Fractional coordinates of all 15 atoms:
Sm: 0.000 0.000 0.000
Sm: 0.333 0.667 0.762
Sm: 0.667 0.333 0.238
Cu: 0.333 0.667 0.169
Cu: 0.667 0.333 0.831
Ge: 0.000 0.000 0.500
Pt: 0.000 0.500 0.000
Pt: 0.170 0.340 0.341
Pt: 0.170 0.830 0.341
Pt: 0.340 0.170 0.659
Pt: 0.500 0.000 0.000
Pt: 0.500 0.500 0.000
Pt: 0.660 0.830 0.341
Pt: 0.830 0.170 0.659
Pt: 0.830 0.660 0.659

Properties
**SG**: No. 164
**Uncorrected energy**: -6.05 eV/atom
**ΔH_f (0 K)**: -0.624 eV per atom
**Density of states at the Fermi level**: 0.5235 states/eV/atom
**ρ**: 12653 kg/m³


## Sm2CuGe3Pt4 (PBE)

Data for Sm2CuGe3Pt4 after structural relaxation.

Unit cell a=4.323 b=4.323 c=10.113 alpha=90.00 beta=90.00 gamma=90.00
Fractional coordinates of all 10 atoms:
Sm: 0.000 0.500 0.240
Sm: 0.500 0.000 0.760
Cu: 0.500 0.500 0.000
Ge: 0.000 0.000 0.000
Ge: 0.000 0.500 0.632
Ge: 0.500 0.000 0.368
Pt: 0.000 0.000 0.500
Pt: 0.000 0.500 0.872
Pt: 0.500 0.000 0.128
Pt: 0.500 0.500 0.500

Properties
**SG**: No. 115
**Uncorrected energy**: -6.02 eV/atom
**ΔH_f (0 K)**: -0.861 eV per atom
**Density of states at the Fermi level**: 0.5228 states/eV/atom
**ρ**: 11970 kg/m³


## Sm2Cu3Ge4Pt (PBE)

Data for Sm2Cu3Ge4Pt after structural relaxation.

Unit cell a=4.209 b=4.209 c=10.154 alpha=90.00 beta=90.00 gamma=90.00
Fractional coordinates of all 10 atoms:
Sm: 0.000 0.500 0.249
Sm: 0.500 0.000 0.751
Cu: 0.000 0.500 0.871
Cu: 0.500 0.000 0.129
Cu: 0.500 0.500 0.500
Ge: 0.000 0.000 0.000
Ge: 0.000 0.500 0.636
Ge: 0.500 0.000 0.364
Ge: 0.500 0.500 0.000
Pt: 0.000 0.000 0.500

Properties
**SG**: No. 115
**Uncorrected energy**: -5.22 eV/atom
**ΔH_f (0 K)**: -0.596 eV per atom
**Density of states at the Fermi level**: 0.4258 states/eV/atom
**ρ**: 9020 kg/m³


## SrCuGe2Pt (PBE)

Data for SrCuGe2Pt after structural relaxation.

Unit cell a=6.052 b=6.052 c=6.052 alpha=137.69 beta=137.69 gamma=61.38
Fractional coordinates of all 5 atoms:
Sr: 0.000 0.000 0.000
Cu: 0.750 0.250 0.500
Ge: 0.371 0.371 0.000
Ge: 0.629 0.629 0.000
Pt: 0.250 0.750 0.500

Properties
**SG**: No. 119
**Uncorrected energy**: -4.78 eV/atom
**ΔH_f (0 K)**: -0.567 eV per atom
**Density of states at the Fermi level**: 0.4177 states/eV/atom
**ρ**: 8218 kg/m³


## SrCu2GePt (PBE)

Data for SrCu2GePt after structural relaxation.

Unit cell a=4.823 b=4.823 c=5.522 alpha=90.00 beta=90.00 gamma=90.00
Fractional coordinates of all 5 atoms:
Sr: 0.000 0.000 0.000
Cu: 0.000 0.500 0.500
Cu: 0.500 0.000 0.500
Ge: 0.500 0.500 0.000
Pt: 0.000 0.000 0.500

Properties
**SG**: No. 123
**Uncorrected energy**: -3.70 eV/atom
**ΔH_f (0 K)**: 0.407 eV per atom
**Density of states at the Fermi level**: 0.8445 states/eV/atom
**ρ**: 6238 kg/m³


## SrCuGe2Pt (PBE)

Data for SrCuGe2Pt after structural relaxation.

Unit cell a=4.673 b=4.673 c=4.991 alpha=90.00 beta=90.00 gamma=90.00
Fractional coordinates of all 5 atoms:
Sr: 0.000 0.000 0.000
Cu: 0.500 0.500 0.500
Ge: 0.000 0.500 0.500
Ge: 0.500 0.000 0.500
Pt: 0.500 0.500 0.000

Properties
**SG**: No. 123
**Uncorrected energy**: -4.29 eV/atom
**ΔH_f (0 K)**: -0.075 eV per atom
**Density of states at the Fermi level**: 0.3891 states/eV/atom
**ρ**: 7488 kg/m³


## TbCuGe2Pt5 (PBE)

Data for TbCuGe2Pt5 after structural relaxation.

Unit cell a=4.129 b=4.129 c=9.303 alpha=90.00 beta=90.00 gamma=90.00
Fractional coordinates of all 9 atoms:
Tb: 0.000 0.000 0.000
Cu: 0.000 0.000 0.500
Ge: 0.500 0.500 0.372
Ge: 0.500 0.500 0.628
Pt: 0.000 0.500 0.228
Pt: 0.000 0.500 0.772
Pt: 0.500 0.000 0.228
Pt: 0.500 0.000 0.772
Pt: 0.500 0.500 0.000

Properties
**SG**: No. 123
**Uncorrected energy**: -5.88 eV/atom
**ΔH_f (0 K)**: -0.530 eV per atom
**Density of states at the Fermi level**: 0.2739 states/eV/atom
**ρ**: 14063 kg/m³


## Tb2Cu3Ge4Pt (PBE)

Data for Tb2Cu3Ge4Pt after structural relaxation.

Unit cell a=4.164 b=4.164 c=10.166 alpha=90.00 beta=90.00 gamma=90.00
Fractional coordinates of all 10 atoms:
Tb: 0.000 0.500 0.250
Tb: 0.500 0.000 0.750
Cu: 0.000 0.000 0.000
Cu: 0.000 0.500 0.631
Cu: 0.500 0.000 0.369
Ge: 0.000 0.000 0.500
Ge: 0.000 0.500 0.862
Ge: 0.500 0.000 0.138
Ge: 0.500 0.500 0.500
Pt: 0.500 0.500 0.000

Properties
**SG**: No. 115
**Uncorrected energy**: -5.18 eV/atom
**ΔH_f (0 K)**: -0.573 eV per atom
**Density of states at the Fermi level**: 0.4623 states/eV/atom
**ρ**: 9364 kg/m³


## TbCuGe2Pt4 (PBE)

Data for TbCuGe2Pt4 after structural relaxation.

Unit cell a=9.075 b=9.075 c=9.075 alpha=27.21 beta=27.21 gamma=27.21
Fractional coordinates of all 8 atoms:
Tb: 0.000 0.000 0.000
Cu: 0.500 0.500 0.500
Ge: 0.244 0.244 0.244
Ge: 0.756 0.756 0.756
Pt: 0.135 0.135 0.135
Pt: 0.402 0.402 0.402
Pt: 0.598 0.598 0.598
Pt: 0.865 0.865 0.865

Properties
**SG**: No. 166
**Uncorrected energy**: -5.86 eV/atom
**ΔH_f (0 K)**: -0.596 eV per atom
**Density of states at the Fermi level**: 0.3282 states/eV/atom
**ρ**: 13829 kg/m³


## ThCuGe2Pt4 (PBE)

Data for ThCuGe2Pt4 after structural relaxation.

Unit cell a=9.065 b=9.065 c=9.065 alpha=27.65 beta=27.65 gamma=27.65
Fractional coordinates of all 8 atoms:
Th: 0.000 0.000 0.000
Cu: 0.500 0.500 0.500
Ge: 0.240 0.240 0.240
Ge: 0.760 0.760 0.760
Pt: 0.135 0.135 0.135
Pt: 0.400 0.400 0.400
Pt: 0.600 0.600 0.600
Pt: 0.865 0.865 0.865

Properties
**SG**: No. 166
**Uncorrected energy**: -6.24 eV/atom
**ΔH_f (0 K)**: -0.626 eV per atom
**Density of states at the Fermi level**: 0.5364 states/eV/atom
**ρ**: 14314 kg/m³


## ThCuGePt3 (PBE)

Data for ThCuGePt3 after structural relaxation.

Unit cell a=6.779 b=6.779 c=5.751 alpha=90.00 beta=90.00 gamma=120.66
Fractional coordinates of all 12 atoms:
Th: 0.207 0.793 0.750
Th: 0.793 0.207 0.250
Cu: 0.440 0.560 0.750
Cu: 0.560 0.440 0.250
Ge: 0.126 0.874 0.250
Ge: 0.874 0.126 0.750
Pt: 0.214 0.214 0.000
Pt: 0.214 0.214 0.500
Pt: 0.330 0.670 0.250
Pt: 0.670 0.330 0.750
Pt: 0.786 0.786 0.000
Pt: 0.786 0.786 0.500

Properties
**SG**: No. 63
**Uncorrected energy**: -6.29 eV/atom
**ΔH_f (0 K)**: -0.583 eV per atom
**Density of states at the Fermi level**: 0.4099 states/eV/atom
**ρ**: 13929 kg/m³


## TiCuGePt (PBE)

Data for TiCuGePt after structural relaxation.

Unit cell a=4.401 b=4.401 c=4.401 alpha=60.00 beta=60.00 gamma=60.00
Fractional coordinates of all 4 atoms:
Ti: 0.000 0.000 0.000
Cu: 0.250 0.250 0.250
Ge: 0.500 0.500 0.500
Pt: 0.750 0.750 0.750

Properties
**SG**: No. 216
**Uncorrected energy**: -6.05 eV/atom
**ΔH_f (0 K)**: -0.387 eV per atom
**Density of states at the Fermi level**: 0.7675 states/eV/atom
**ρ**: 10442 kg/m³